The following is a DFT calculation (PBE) of a relaxed Rb2Tl12Au crystal.

Lattice parameters (Å, degrees): 7.2963 7.2963 19.4681 90.00 90.00 90.00
With the nearest neighbours (Å) after each atom.
Element x y z (fractional)
1 Rb 0.2500 0.7500 0.2481  14 Tl 3.88-4.13
2 Rb 0.2500 0.7500 0.7519  14 Tl 3.88-4.13
3 Rb 0.7500 0.2500 0.2481  14 Tl 3.88-4.13
4 Rb 0.7500 0.2500 0.7519  14 Tl 3.88-4.13
5 Tl 0.9998 0.0002 0.0826  2 Au 3.04, 3 Tl 3.20-3.22
6 Tl 0.0002 0.9998 0.9174  2 Au 3.04, 3 Tl 3.20-3.22
7 Tl 0.0002 0.5002 0.0826  2 Au 3.04, 3 Tl 3.20-3.22
8 Tl 0.9998 0.4998 0.9174  2 Au 3.04, 3 Tl 3.20-3.22
9 Tl 0.0842 0.5842 0.4332  4 Tl 3.13-3.42
10 Tl 0.0842 0.9158 0.5668  4 Tl 3.13-3.42
11 Tl 0.2500 0.2500 0.1802  5 Tl 3.16-3.20
12 Tl 0.2500 0.2500 0.3425  5 Tl 3.16-3.24
13 Tl 0.2500 0.2500 0.6575  5 Tl 3.16-3.24
14 Tl 0.2500 0.2500 0.8198  5 Tl 3.16-3.20
15 Tl 0.4158 0.5842 0.5668  4 Tl 3.13-3.42
16 Tl 0.4158 0.9158 0.4332  4 Tl 3.13-3.42
17 Tl 0.4998 0.9998 0.0826  2 Au 3.04, 3 Tl 3.20-3.22
18 Tl 0.5002 0.0002 0.9174  2 Au 3.04, 3 Tl 3.20-3.22
19 Tl 0.5002 0.4998 0.0826  2 Au 3.04, 3 Tl 3.20-3.22
20 Tl 0.4998 0.5002 0.9174  2 Au 3.04, 3 Tl 3.20-3.22
21 Tl 0.5842 0.0842 0.5668  4 Tl 3.13-3.42
22 Tl 0.5842 0.4158 0.4332  4 Tl 3.13-3.42
23 Tl 0.7500 0.7500 0.1802  5 Tl 3.16-3.20
24 Tl 0.7500 0.7500 0.3425  5 Tl 3.16-3.24
25 Tl 0.7500 0.7500 0.6575  5 Tl 3.16-3.24
26 Tl 0.7500 0.7500 0.8198  5 Tl 3.16-3.20
27 Tl 0.9158 0.0842 0.4332  4 Tl 3.13-3.42
28 Tl 0.9158 0.4158 0.5668  4 Tl 3.13-3.42
29 Au 0.2500 0.7500 0.0000  8 Tl 3.04
30 Au 0.7500 0.2500 0.0000  8 Tl 3.04

Computed properties:
As for the energy relative to the elements: -0.27 eV per formula unit. The value obtained for the total moment is 0.00 μB/cell. Its space group is P4/nbm (125). For the uncorrected energy, the calculation gives -2.2586 eV per atom.